Material: LiAl2Ge
Method: DFT, GGA-PBEsol
State: optimized geometry

extended XYZ file:
```
4
Lattice="-3.6147 -2.6124 -0.9804 -0.5442 -1.6538 -4.2215 0.5559 -4.4625 -0.7932" Properties=species:S:1:pos:R:3 pbc="T T T"
Li 0.0000 0.0000 0.0000
Al -2.7022 -6.5466 -4.4963
Ge -1.8015 -4.3644 -2.9975
Al -0.9007 -2.1822 -1.4988
```

Computed properties:
SG: No. 225
N(E_F), states/eV/atom: 0.380
Energy of formation, kJ/mol of formula units: 25

---

Material: LuAl2Ge2
Method: DFT, GGA-PBEsol
State: optimized geometry

extended XYZ file:
```
5
Lattice="4.2182 0.0000 0.0000 -2.1091 3.6530 0.0000 0.0000 0.0000 6.3735" Properties=species:S:1:pos:R:3 pbc="T T T"
Ge 2.1091 1.2177 4.7868
Lu 0.0000 0.0000 0.0000
Al 2.1091 1.2177 2.2321
Ge 0.0000 2.4354 1.5867
Al 0.0000 2.4354 4.1414
```

Computed properties:
SG: No. 164
N(E_F), states/eV/atom: 0.333
Energy of formation, kJ/mol of formula units: -188

---

Material: LuAlGe
Method: DFT, GGA-PBEsol
State: optimized geometry

extended XYZ file:
```
6
Lattice="-1.0410 -3.7386 0.9206 4.9507 1.2029 1.8428 -2.2345 1.8095 4.8218" Properties=species:S:1:pos:R:3 pbc="T T T"
Lu -0.5067 -0.7663 4.9551
Al -1.1173 0.9048 2.4109
Al 0.0000 0.0000 0.0000
Lu 2.1819 0.0402 2.6302
Ge -0.1168 -1.5617 2.1660
Ge 1.7920 0.8355 5.4192
```

Computed properties:
SG: No. 63
N(E_F), states/eV/atom: 0.286
Energy of formation, kJ/mol of formula units: -190

---

Question: The lowest energy of formation belongs to which entry?
Answer: LuAlGe

---

Question: Look up the N(E_F) of the second one.
Answer: 0.333 states/eV/atom